No. 1
The following is a PBE-GGA calculation of a geometry-optimized Sr2InHgRh structure, from the Alexandria database.

The energy of formation from the pure elements is -0.344 eV per atom. As for the energy above the most stable polymorph in this dataset: 0 meV/atom. As for the crystal system: tetragonal. The total energy comes out at -3.095 eV/atom.

It has space group P4/mmm (No. 123), with a = 5.7611 Å, b = 5.7611 Å, c = 5.1516 Å, α = 90.00°, β = 90.00° and γ = 90.00°. The asymmetric unit holds Sr at (0.0000, 0.5000, 0.0000), In at (0.0000, 0.0000, 0.5000), Hg at (0.5000, 0.5000, 0.5000) and Rh at (0.0000, 0.0000, 0.0000).



No. 2
The following is a PBE-GGA calculation of a geometry-optimized SrInHgRh2 structure, from the Alexandria database.

The energy of formation from the pure elements is 1.115 eV per atom. As for the crystal system: tetragonal. The total energy comes out at -2.770 eV/atom.

It has space group P4/mmm (No. 123), with a = 5.0514 Å, b = 5.0514 Å, c = 5.7853 Å, α = 90.00°, β = 90.00° and γ = 90.00°. The asymmetric unit holds Sr at (0.0000, 0.0000, 0.0000), In at (0.5000, 0.5000, 0.5000), Hg at (0.0000, 0.0000, 0.5000) and Rh at (0.0000, 0.5000, 0.0000).



No. 3
The following is a PBE-GGA calculation of a geometry-optimized TbInHgRh structure, from the Alexandria database.

The energy of formation from the pure elements is -0.417 eV per atom. As for the crystal system: cubic. The total energy comes out at -4.172 eV/atom.

It has space group F-43m (No. 216), with a = 6.9697 Å, b = 6.9697 Å, c = 6.9697 Å, α = 90.00°, β = 90.00° and γ = 90.00°. The asymmetric unit holds Tb at (0.0000, 0.0000, 0.0000), In at (0.0000, 0.0000, 0.5000), Hg at (0.2500, 0.2500, 0.7500) and Rh at (0.2500, 0.2500, 0.2500).



No. 4
The following is a PBE-GGA calculation of a geometry-optimized ThInHgRh structure, from the Alexandria database.

The energy of formation from the pure elements is -0.376 eV per atom. As for the crystal system: cubic. The total energy comes out at -4.828 eV/atom.

It has space group F-43m (No. 216), with a = 7.1396 Å, b = 7.1396 Å, c = 7.1396 Å, α = 90.00°, β = 90.00° and γ = 90.00°. The asymmetric unit holds Th at (0.0000, 0.0000, 0.0000), In at (0.0000, 0.0000, 0.5000), Hg at (0.2500, 0.2500, 0.7500) and Rh at (0.2500, 0.2500, 0.2500).



No. 5
The following is a PBE-GGA calculation of a geometry-optimized TlIn2HgRh structure, from the Alexandria database.

The energy of formation from the pure elements is -0.125 eV per atom. As for the energy above the most stable polymorph in this dataset: 0 meV/atom. As for the crystal system: tetragonal. The total energy comes out at -3.224 eV/atom.

It has space group P4/mmm (No. 123), with a = 5.1913 Å, b = 5.1913 Å, c = 5.2961 Å, α = 90.00°, β = 90.00° and γ = 90.00°. The asymmetric unit holds Tl at (0.0000, 0.0000, 0.0000), In at (0.0000, 0.5000, 0.5000), Hg at (0.5000, 0.5000, 0.0000) and Rh at (0.0000, 0.0000, 0.5000).



No. 6
The following is a PBE-GGA calculation of a geometry-optimized TlIn2HgRh structure, from the Alexandria database.

The energy of formation from the pure elements is -0.071 eV per atom. As for the energy above the most stable polymorph in this dataset: 54 meV/atom. As for the crystal system: tetragonal. The total energy comes out at -3.170 eV/atom.

It has space group P4/mmm (No. 123), with a = 5.1394 Å, b = 5.1394 Å, c = 5.3527 Å, α = 90.00°, β = 90.00° and γ = 90.00°. The asymmetric unit holds Tl at (0.0000, 0.0000, 0.0000), In at (0.0000, 0.5000, 0.5000), Hg at (0.5000, 0.5000, 0.0000) and Rh at (0.5000, 0.5000, 0.5000).



Which of these has the lowest energy of formation from the pure elements? TbInHgRh



total energy of number 3 (TbInHgRh)? -4.172 eV/atom



Copy entry 3 word for word.
The following is a PBE-GGA calculation of a geometry-optimized TbInHgRh structure, from the Alexandria database.

The energy of formation from the pure elements is -0.417 eV per atom. As for the crystal system: cubic. The total energy comes out at -4.172 eV/atom.

It has space group F-43m (No. 216), with a = 6.9697 Å, b = 6.9697 Å, c = 6.9697 Å, α = 90.00°, β = 90.00° and γ = 90.00°. The asymmetric unit holds Tb at (0.0000, 0.0000, 0.0000), In at (0.0000, 0.0000, 0.5000), Hg at (0.2500, 0.2500, 0.7500) and Rh at (0.2500, 0.2500, 0.2500).



Which of these has the highest energy of formation from the pure elements? SrInHgRh2